This record from Alexandria via LeMat-Bulk describes crystalline VAuO2 at its relaxed geometry. The functional is PBE+U.

Cell lengths 2.9642, 10.1660, 3.9912 Å; angles 90.00, 90.00, 90.00 degrees
With the nearest neighbours (Å) after each atom.
Atoms (fractional coordinates):
Au  0.0000  0.4450  0.7074  6 Au 2.73-2.96
Au  0.5000  0.5550  0.2074  6 Au 2.73-2.96
O  0.0000  0.2020  0.2020  2 V 1.83
O  0.5000  0.7980  0.7020  2 V 1.83
O  0.0000  0.9478  0.2021  4 V 2.05-2.11
O  0.5000  0.0522  0.7021  4 V 2.05-2.11
V  0.0000  0.9038  0.7021  4 O 1.83-2.05
V  0.5000  0.0962  0.2021  4 O 1.83-2.05

Values from the calculation:
- space-group type = Pmn2_1, No. 31
- size of the total moment (μB per cell) = 2.25
- E (eV/atom) = -6.44